1.
Material: Ho6P2PtSe3
Method: DFT, PBE
State: optimized geometry

Output
- total moment (μB per atom) = 0.0000
- formation energy (no corrections) (eV per atom) = -1.65
- V (Å³/cell) = 282.1

a = 4.000 Å, b = 8.179 Å, c = 9.098 Å
α = 103.39°, β = 102.70°, γ = 90.00°
Element x y z (fractional)
1 Ho 0.335 0.903 0.670
2 Ho 0.672 0.572 0.343
3 Ho 0.665 0.097 0.330
4 Ho 0.005 0.240 0.010
5 Ho 0.995 0.760 0.990
6 Ho 0.328 0.428 0.657
7 P 0.832 0.664 0.665
8 P 0.168 0.336 0.335
9 Pt 0.500 0.000 0.000
10 Se 0.500 0.500 0.000
11 Se 0.832 0.168 0.664
12 Se 0.168 0.832 0.336


2.
Material: MnGePHCN
Method: DFT, PBE
State: optimized geometry

Output
- total moment (μB per atom) = 0.0001
- final energy (eV/cell) = -38.93
- V (Å³/cell) = 71.7

a = 2.969 Å, b = 4.892 Å, c = 5.494 Å
α = 64.02°, β = 88.75°, γ = 87.61°
Element x y z (fractional)
1 Mn 0.270 0.713 0.395
2 Ge 0.784 0.967 0.989
3 P 0.764 0.536 0.742
4 H 0.528 0.443 0.142
5 C 0.277 0.074 0.378
6 N 0.333 0.347 0.325


3.
Material: CePu2Ge2
Method: DFT, PBE
State: optimized geometry

Output
- formation enthalpy at 0 K (meV per atom) = -217
- total moment (μB per atom) = 0.5771
- V (Å³/cell) = 222.8

a = 4.227 Å, b = 4.227 Å, c = 14.397 Å
α = 90.00°, β = 90.00°, γ = 120.00°
Site moments in Bohr magnetons follow the coordinates.
Element x y z (fractional)
1 Ce 0.667 0.333 0.750  0.62
2 Ce 0.333 0.667 0.250  0.62
3 Pu 0.333 0.667 0.506  1.15
4 Pu 0.667 0.333 0.006  1.15
5 Pu 0.667 0.333 0.494  1.15
6 Pu 0.333 0.667 0.994  1.15
7 Ge 0.000 0.000 0.623  -0.03
8 Ge 0.000 0.000 0.123  -0.03
9 Ge 0.000 0.000 0.377  -0.03
10 Ge 0.000 0.000 0.877  -0.03


4.
Material: Sm2GeCl
Method: DFT, PBE
State: optimized geometry

Output
- total moment (μB per atom) = 0.0000
- formation energy (no corrections) (eV per atom) = -1.26
- V (Å³/cell) = 205.3

a = 5.851 Å, b = 5.851 Å, c = 7.287 Å
α = 66.32°, β = 66.32°, γ = 89.99°
Element x y z (fractional)
1 Sm 0.134 0.884 0.732
2 Sm 0.866 0.116 0.268
3 Sm 0.616 0.366 0.768
4 Sm 0.384 0.634 0.232
5 Ge 0.625 0.875 0.750
6 Ge 0.375 0.125 0.250
7 Cl 0.125 0.375 0.750
8 Cl 0.875 0.625 0.250


5.
Material: NbMo2AsRh
Method: DFT, PBE
State: optimized geometry

Output
- formation enthalpy at 0 K (meV per atom) = 1695
- total moment (μB per atom) = 0.2896
- V (Å³/cell) = 107.3

a = 4.719 Å, b = 4.821 Å, c = 4.719 Å
α = 90.00°, β = 90.00°, γ = 90.00°
Site moments in Bohr magnetons follow the coordinates.
Element x y z (fractional)
1 As 0.000 0.500 0.000  -0.01
2 Mo 0.000 0.000 0.500  0.46
3 Mo 0.500 0.000 0.000  0.71
4 Rh 0.500 0.500 0.500  0.15
5 Nb 0.000 0.000 0.000  -0.01


6.
Material: MnCr
Method: DFT, PBE
State: optimized geometry

Output
- formation enthalpy at 0 K (meV per atom) = 512
- total moment (μB per atom) = 0.1246
- V (Å³/cell) = 46.7

a = 2.525 Å, b = 2.525 Å, c = 8.453 Å
α = 90.00°, β = 90.00°, γ = 120.00°
Site moments in Bohr magnetons follow the coordinates.
Element x y z (fractional)
1 Cr 0.333 0.667 0.058  -0.38
2 Cr 0.667 0.333 0.558  -0.38
3 Mn 0.333 0.667 0.313  0.63
4 Mn 0.667 0.333 0.813  0.63


7.
Material: Cd6NiPd2
Method: DFT, PBE
State: optimized geometry

Output
- formation enthalpy at 0 K (meV per atom) = -89
- total moment (μB per atom) = 0.0000
- V (Å³/cell) = 194.9

a = 4.531 Å, b = 6.395 Å, c = 7.782 Å
α = 114.26°, β = 106.83°, γ = 90.00°
Element x y z (fractional)
1 Cd 0.162 0.408 0.323
2 Cd 0.838 0.085 0.677
3 Cd 0.838 0.592 0.677
4 Cd 0.500 0.237 0.000
5 Cd 0.162 0.915 0.323
6 Cd 0.500 0.763 0.000
7 Ni 0.000 0.000 0.000
8 Pd 0.667 0.667 0.333
9 Pd 0.333 0.333 0.667


8.
Material: K2SrIn
Method: DFT, PBE
State: optimized geometry

Output
- formation enthalpy at 0 K (meV per atom) = 99
- total moment (μB per atom) = 0.0000
- V (Å³/cell) = 191.0

a = 4.247 Å, b = 5.863 Å, c = 7.671 Å
α = 90.00°, β = 90.00°, γ = 90.00°
Element x y z (fractional)
1 In 0.500 0.500 0.750
2 K 0.000 0.000 0.970
3 K 0.000 0.000 0.530
4 Sr 0.500 0.500 0.250